Below is a geometry-optimized TmRu2W structure, with properties calculated at the GGA-PBE level.

```
TmRu2W
1.0
3.113 0.000 0.000
0.000 3.113 0.000
0.000 0.000 7.038
Tm Ru W
1 2 1
direct
0.000 0.000 0.000
0.500 0.500 0.283
0.500 0.500 0.717
0.000 0.000 0.500
```

- Volume: 17.1 Å³ per atom
- Calculated formation energy: -151 meV per atom
- Space group: P4/mmm